The following is a DFT calculation (PBE) of a relaxed Rb7H12Se crystal.

* E: -2.421 eV/atom
* Fermi-level density of states: 0.26 states/eV per atom
* calculated density: 2613 kg/m³

Cell lengths 7.7104, 7.7110, 7.7285 Å; angles 99.62, 99.33, 99.63 degrees
Closest atoms and distances in Å follow each position.
Space group P-1 (No. 2)
Inequivalent atoms, fractional coordinates:
1 Rb 0.0000 0.0000 0.0000 (multiplicity 1)  6 H 3.04-3.06
2 Rb 0.0775 0.5868 0.2919 (multiplicity 2)  6 H 2.80-3.08
3 Rb 0.2927 0.0774 0.5876 (multiplicity 2)  6 H 2.81-3.08
4 Rb 0.4134 0.7079 0.9231 (multiplicity 2)  6 H 2.81-3.08
5 H 0.0890 0.7766 0.6733 (multiplicity 2)  5 Rb 2.81-3.08, 1 H 3.07
6 H 0.2222 0.3274 0.9123 (multiplicity 2)  5 Rb 2.82-3.08, 1 H 3.09
7 H 0.2869 0.4260 0.5249 (multiplicity 2)  1 Se 1.70
8 H 0.3274 0.9130 0.2231 (multiplicity 2)  5 Rb 2.82-3.08, 1 H 3.07
9 H 0.4290 0.5288 0.2886 (multiplicity 2)  1 Se 1.70
10 H 0.4726 0.7121 0.5739 (multiplicity 2)  1 Se 1.70
11 Se 0.5000 0.5000 0.5000 (multiplicity 1)  6 H 1.70